This record from Alexandria via LeMat-Bulk describes a relaxed structure of Sr4LaCo5O15. The functional is GGA+U.

The structure in POSCAR format:
```
Sr4LaCo5O15
1.0
8.586 -0.064 -0.067
6.857 5.168 -0.067
1.684 0.557 6.487
La O Co Sr
1 15 5 4
Direct
0.500 0.500 0.500 La
0.197 0.197 0.687 O
0.596 0.596 0.087 O
0.791 0.304 0.786 O
0.209 0.696 0.214 O
0.304 0.791 0.786 O
0.500 0.000 0.000 O
0.406 0.885 0.391 O
0.115 0.594 0.609 O
0.404 0.404 0.913 O
0.803 0.803 0.313 O
0.000 0.000 0.500 O
0.885 0.406 0.391 O
0.696 0.209 0.214 O
0.594 0.115 0.609 O
0.000 0.500 0.000 O
0.300 0.300 0.803 Co
0.899 0.899 0.401 Co
0.500 0.500 0.000 Co
0.700 0.700 0.197 Co
0.101 0.101 0.599 Co
0.901 0.901 0.903 Sr
0.699 0.699 0.698 Sr
0.099 0.099 0.097 Sr
0.301 0.301 0.302 Sr
```

## Properties
Its electronic total energy is -6.205 eV/atom. The calculation puts the density of states at the Fermi level at 5.1 states/eV/cell.